Material: NaTb4Tm3Se8
Method: DFT, PBE-GGA
State: relaxed

Cell: 8.1288 8.1288 19.9946 Å, 90.00 90.00 120.00°
Space group R-3m (No. 166, hexagonal axes)
Asymmetric unit:
Na 0.0000 0.0000 0.0000 [3 per cell]
Tb 0.0000 0.0000 0.5000 [3 per cell]
Tb 0.0000 0.5000 0.5000 [9 per cell]
Tm 0.0000 0.5000 0.0000 [9 per cell]
Se 0.0000 0.0000 0.2525 [6 per cell]
Se 0.0013 0.5007 0.2522 [18 per cell]

Properties
- final energy (hartree per atom) = -0.20346

Material: Na3Tb2TmSe6
Method: DFT, PBE-GGA
State: relaxed

Cell: 7.171 12.421 7.407 Å, 90.00 108.84 90.00°
Space group C2/m (No. 12)
Asymmetric unit:
Na 0.000 0.000 0.000 [2 per cell]
Na 0.000 0.333 0.000 [4 per cell]
Tb 0.000 0.167 0.500 [4 per cell]
Tm 0.000 0.500 0.500 [2 per cell]
Se 0.241 0.335 0.729 [8 per cell]
Se 0.247 0.000 0.729 [4 per cell]

Properties
- final energy (hartree per atom) = -0.18086

Material: NaTb2Tm3Se6
Method: DFT, PBE-GGA
State: relaxed

Cell: 17.791 4.043 8.191 Å, 90.00 103.64 90.00°
Space group C2/m (No. 12)
Asymmetric unit:
Na 0.000 0.000 0.000 [2 per cell]
Tb 0.171 0.500 0.345 [4 per cell]
Tm 0.000 0.000 0.500 [2 per cell]
Tm 0.165 0.500 0.827 [4 per cell]
Se 0.000 0.500 0.256 [4 per cell]
Se 0.163 0.000 0.589 [4 per cell]
Se 0.169 0.000 0.079 [4 per cell]

Properties
- final energy (hartree per atom) = -0.20063

Material: Na3TbTm2Se6
Method: DFT, PBE-GGA
State: relaxed

Cell: 7.133 12.356 7.396 Å, 90.00 108.76 90.00°
Space group C2/m (No. 12)
Asymmetric unit:
Na 0.000 0.000 0.000 [2 per cell]
Na 0.000 0.334 0.000 [4 per cell]
Tb 0.000 0.500 0.500 [2 per cell]
Tm 0.000 0.167 0.500 [4 per cell]
Se 0.239 0.000 0.728 [4 per cell]
Se 0.245 0.331 0.728 [8 per cell]

Properties
- final energy (hartree per atom) = -0.18027

Material: Na3TbU2Se6
Method: DFT, PBE-GGA
State: relaxed

Cell: 7.184 12.442 7.452 Å, 90.00 108.75 90.00°
Space group C2/m (No. 12)
Asymmetric unit:
Na 0.000 0.000 0.000 [2 per cell]
Na 0.000 0.334 0.000 [4 per cell]
Tb 0.000 0.500 0.500 [2 per cell]
U 0.000 0.167 0.500 [4 per cell]
Se 0.244 0.334 0.733 [8 per cell]
Se 0.245 0.000 0.733 [4 per cell]

Properties
- final energy (hartree per atom) = -0.20880

Material: NaTb2USe4
Method: DFT, PBE-GGA
State: relaxed

Cell: 7.154 4.074 7.178 Å, 90.00 108.91 90.00°
Space group P2/m (No. 10)
Asymmetric unit:
Na 0.000 0.000 0.000 [1 per cell]
Tb 0.500 0.000 0.500 [1 per cell]
Tb 0.500 0.500 0.000 [1 per cell]
U 0.000 0.500 0.500 [1 per cell]
Se 0.252 0.000 0.752 [2 per cell]
Se 0.254 0.500 0.253 [2 per cell]

Properties
- final energy (hartree per atom) = -0.21986

Material: Na3Tb2USe6
Method: DFT, PBE-GGA
State: relaxed

Cell: 7.221 12.507 7.432 Å, 90.00 108.92 90.00°
Space group C2/m (No. 12)
Asymmetric unit:
Na 0.000 0.000 0.000 [2 per cell]
Na 0.000 0.333 0.000 [4 per cell]
Tb 0.000 0.167 0.500 [4 per cell]
U 0.000 0.500 0.500 [2 per cell]
Se 0.242 0.000 0.733 [4 per cell]
Se 0.245 0.332 0.732 [8 per cell]

Properties
- final energy (hartree per atom) = -0.19463

Material: Na2TbUSe4
Method: DFT, PBE-GGA
State: relaxed

Cell: 7.206 4.155 7.431 Å, 90.00 108.83 90.00°
Space group P2/m (No. 10)
Asymmetric unit:
Na 0.000 0.000 0.000 [1 per cell]
Na 0.500 0.500 0.000 [1 per cell]
Tb 0.000 0.500 0.500 [1 per cell]
U 0.500 0.000 0.500 [1 per cell]
Se 0.243 0.000 0.732 [2 per cell]
Se 0.255 0.500 0.267 [2 per cell]

Properties
- final energy (hartree per atom) = -0.20166

Material: Na3Tb3USe8
Method: DFT, PBE-GGA
State: relaxed

Cell: 8.3169 8.3169 21.1251 Å, 90.00 90.00 120.00°
Space group R-3m (No. 166, hexagonal axes)
Asymmetric unit:
Na 0.0000 0.5000 0.0000 [9 per cell]
Tb 0.0000 0.5000 0.5000 [9 per cell]
U 0.0000 0.0000 0.5000 [3 per cell]
Se 0.0000 0.0000 0.2436 [6 per cell]
Se 0.0039 0.5020 0.2415 [18 per cell]

Properties
- final energy (hartree per atom) = -0.19780

Material: Na2Tb3YSe6
Method: DFT, PBE-GGA
State: relaxed

Cell: 7.135 12.343 7.191 Å, 90.00 109.25 90.00°
Space group C2/m (No. 12)
Asymmetric unit:
Na 0.000 0.166 0.000 [4 per cell]
Tb 0.000 0.000 0.500 [2 per cell]
Tb 0.000 0.331 0.500 [4 per cell]
Y 0.000 0.500 0.000 [2 per cell]
Se 0.243 0.500 0.744 [4 per cell]
Se 0.249 0.335 0.252 [8 per cell]

Properties
- final energy (hartree per atom) = -0.19793

Material: Na3TbY2Se6
Method: DFT, PBE-GGA
State: relaxed

Cell: 7.195 12.462 7.408 Å, 90.00 108.89 90.00°
Space group C2/m (No. 12)
Asymmetric unit:
Na 0.000 0.000 0.000 [2 per cell]
Na 0.000 0.333 0.000 [4 per cell]
Tb 0.000 0.500 0.500 [2 per cell]
Y 0.000 0.167 0.500 [4 per cell]
Se 0.243 0.000 0.730 [4 per cell]
Se 0.244 0.333 0.730 [8 per cell]

Properties
- final energy (hartree per atom) = -0.19288

Material: Na4TbY3Se8
Method: DFT, PBE-GGA
State: relaxed

Cell: 8.3050 8.3050 21.0342 Å, 90.00 90.00 120.00°
Space group R-3m (No. 166, hexagonal axes)
Asymmetric unit:
Na 0.0000 0.0000 0.0000 [3 per cell]
Na 0.0000 0.5000 0.0000 [9 per cell]
Tb 0.0000 0.0000 0.5000 [3 per cell]
Y 0.0000 0.5000 0.5000 [9 per cell]
Se 0.0000 0.0000 0.2433 [6 per cell]
Se 0.0005 0.5003 0.7567 [18 per cell]

Properties
- final energy (hartree per atom) = -0.19431

Number 1: ΔE_f (raw) -1716 meV/atom. Number 2: ΔE_f (raw) -1705 meV/atom. Number 3: ΔE_f (raw) -1718 meV/atom. Number 4: ΔE_f (raw) -1702 meV/atom. Number 5: ΔE_f (raw) -1343 meV/atom. Number 6: ΔE_f (raw) -1507 meV/atom. Number 7: ΔE_f (raw) -1512 meV/atom. Number 8: ΔE_f (raw) -1426 meV/atom. Number 9: ΔE_f (raw) -1582 meV/atom. Number 10: ΔE_f (raw) -1728 meV/atom. Number 11: ΔE_f (raw) -1713 meV/atom. Number 12: ΔE_f (raw) -1714 meV/atom.